# 1
Na3Dy3AlSe8: optimized geometry, PBE.

Unit cell a=8.5310 b=8.5310 c=8.5310 alpha=56.51 beta=56.51 gamma=56.51
Atoms (fractional coordinates):
Na1 0.0000 0.5000 0.5000
Na2 0.5000 0.0000 0.5000
Na3 0.5000 0.5000 0.0000
Dy1 0.0000 0.0000 0.5000
Dy2 0.0000 0.5000 0.0000
Dy3 0.5000 0.0000 0.0000
Al1 0.5000 0.5000 0.5000
Se1 0.2436 0.2436 0.2436
Se2 0.2632 0.7255 0.7255
Se3 0.2745 0.2745 0.7368
Se4 0.2745 0.7368 0.2745
Se5 0.7255 0.2632 0.7255
Se6 0.7255 0.7255 0.2632
Se7 0.7368 0.2745 0.2745
Se8 0.7564 0.7564 0.7564

ρ, g/cm³: 5.00
E, eV/atom: -4.711
ΔE_f (raw), eV/atom: -1.419
Symmetry: R-3m
Spin magnetization, μB/cell: 0.00

***

# 2
NdHoInHg: optimized geometry, PBE.

Unit cell a=5.3809 b=5.3809 c=5.3809 alpha=60.00 beta=60.00 gamma=60.00
Atoms (fractional coordinates):
Nd1 0.0000 0.0000 0.0000
Ho1 0.5000 0.5000 0.5000
In1 0.7500 0.7500 0.7500
Hg1 0.2500 0.2500 0.2500

Formation enthalpy at 0 K, eV/f.u.: -1.8
ρ, g/cm³: 9.41
E, eV/atom: -3.555
Symmetry: F-43m
Spin magnetization, μB/cell: 0.32

***

# 3
LaTeRu2Se: optimized geometry, PBE.

Unit cell a=4.9101 b=4.9101 c=5.7559 alpha=90.00 beta=90.00 gamma=90.00
Atoms (fractional coordinates):
La1 0.0000 0.0000 0.0000
Te1 0.5000 0.5000 0.5000
Ru1 0.0000 0.5000 0.0000
Ru2 0.5000 0.0000 0.0000
Se1 0.0000 0.0000 0.5000

ρ, g/cm³: 6.55
E, eV/atom: -4.814
ΔE_f (raw), eV/atom: 1.207
Symmetry: P4/mmm
Spin magnetization, μB/cell: 2.58

***

# 4
Mo2RhW: optimized geometry, PBE.

Unit cell a=2.7107 b=4.4353 c=5.2773 alpha=90.00 beta=100.71 gamma=90.00
Atoms (fractional coordinates):
Mo1 0.2181 0.0000 0.2524
Mo2 0.7819 0.0000 0.7476
Rh1 0.5000 0.5000 0.0000
W1 0.0000 0.5000 0.5000

Formation enthalpy at 0 K, eV/f.u.: 0.3
ρ, g/cm³: 12.75
E, eV/atom: -10.413
Relative energy among the computed polymorphs, meV per atom: 68
Symmetry: P2/m
Spin magnetization, μB/cell: 0.00

***

# 5
LiZnIrRh: optimized geometry, PBE.

Unit cell a=4.2888 b=4.2888 c=4.2888 alpha=60.00 beta=60.00 gamma=60.00
Atoms (fractional coordinates):
Li1 0.0000 0.0000 0.0000
Zn1 0.7500 0.7500 0.7500
Ir1 0.5000 0.5000 0.5000
Rh1 0.2500 0.2500 0.2500

Formation enthalpy at 0 K, eV/f.u.: -0.5
ρ, g/cm³: 10.94
E, eV/atom: -4.970
Symmetry: F-43m
Spin magnetization, μB/cell: 1.40

***

# 6
LaY2Er: optimized geometry, PBE.

Unit cell a=5.0876 b=5.0876 c=5.1183 alpha=90.00 beta=90.00 gamma=90.00
Atoms (fractional coordinates):
La1 0.0000 0.0000 0.0000
Y1 0.0000 0.5000 0.5000
Y2 0.5000 0.0000 0.5000
Er1 0.5000 0.5000 0.0000

Formation enthalpy at 0 K, eV/f.u.: 0.1
ρ, g/cm³: 6.07
E, eV/atom: -5.569
Relative energy among the computed polymorphs, meV per atom: 30
Symmetry: P4/mmm
Spin magnetization, μB/cell: 0.00